VASP calculation (PBE) on crystalline TbPm2Sb at its relaxed geometry.

Calculated values
**Energy above the most stable polymorph in this dataset**: 473.5 meV per atom
**Space group**: R-3m, No. 166
**Total DFT energy (no corrections)**: -4.636 eV/atom
**Density of states at the Fermi level**: 6.7 states/eV per cell
**Formation energy without anion corrections**: -0.07 eV/atom

The structure in POSCAR format:
```
TbPm2Sb
1.0
1.998 1.154 10.713
-1.998 1.154 10.713
0.000 -2.307 10.713
Tb Pm Sb
1 2 1
direct
0.000 0.000 0.000
0.105 0.105 0.105
0.895 0.895 0.895
0.500 0.500 0.500
```

VASP calculation (PBE) on crystalline Tb3Pm2Sb3 at its relaxed geometry.

Calculated values
**Space group**: P6_3/mcm, No. 193
**Total DFT energy (no corrections)**: -5.412 eV/atom
**Density of states at the Fermi level**: 15.6 states/eV per cell
**Formation energy without anion corrections**: -0.94 eV/atom

The structure in POSCAR format:
```
Tb3Pm2Sb3
1.0
9.145 0.000 0.000
-4.573 7.920 0.000
0.000 0.000 6.377
Tb Pm Sb
6 4 6
direct
0.000 0.248 0.250
0.000 0.752 0.750
0.248 0.000 0.250
0.248 0.248 0.750
0.752 0.000 0.750
0.752 0.752 0.250
0.333 0.667 0.000
0.333 0.667 0.500
0.667 0.333 0.000
0.667 0.333 0.500
0.000 0.384 0.750
0.000 0.616 0.250
0.384 0.000 0.750
0.384 0.384 0.250
0.616 0.000 0.250
0.616 0.616 0.750
```

VASP calculation (PBE) on crystalline TbPmSbTe at its relaxed geometry.

Calculated values
**Space group**: R3m, No. 160
**Total DFT energy (no corrections)**: -5.470 eV/atom
**Density of states at the Fermi level**: 1.7 states/eV per cell
**Formation energy without anion corrections**: -1.31 eV/atom

The structure in POSCAR format:
```
TbPmSbTe
1.0
2.216 1.279 7.274
-2.216 1.279 7.274
0.000 -2.559 7.274
Tb Pm Sb Te
1 1 1 1
direct
0.000 0.000 0.000
0.507 0.507 0.507
0.256 0.256 0.256
0.751 0.751 0.751
```

VASP calculation (PBE) on crystalline TbPmTh2Sb5 at its relaxed geometry.

Calculated values
**Space group**: P4/mmm, No. 123
**Total DFT energy (no corrections)**: -5.170 eV/atom
**Density of states at the Fermi level**: 5.1 states/eV per cell
**Formation energy without anion corrections**: -0.19 eV/atom

The structure in POSCAR format:
```
TbPmTh2Sb5
1.0
5.272 0.000 0.000
0.000 5.272 0.000
0.000 0.000 11.602
Tb Pm Th Sb
1 1 2 5
direct
0.000 0.000 0.000
0.000 0.000 0.500
0.500 0.500 0.198
0.500 0.500 0.802
0.000 0.000 0.250
0.000 0.000 0.750
0.000 0.500 0.000
0.500 0.000 0.000
0.500 0.500 0.500
```

VASP calculation (PBE) on crystalline TbPm2ThSb5 at its relaxed geometry.

Calculated values
**Space group**: P4/mmm, No. 123
**Total DFT energy (no corrections)**: -4.914 eV/atom
**Density of states at the Fermi level**: 2.9 states/eV per cell
**Formation energy without anion corrections**: -0.23 eV/atom

The structure in POSCAR format:
```
TbPm2ThSb5
1.0
5.264 0.000 0.000
0.000 5.264 0.000
0.000 0.000 11.878
Tb Pm Th Sb
1 2 1 5
direct
0.000 0.000 0.000
0.500 0.500 0.215
0.500 0.500 0.785
0.000 0.000 0.500
0.000 0.000 0.251
0.000 0.000 0.749
0.000 0.500 0.000
0.500 0.000 0.000
0.500 0.500 0.500
```

VASP calculation (PBE) on crystalline TbPm2Th3Sb6 at its relaxed geometry.

Calculated values
**Space group**: C2/m, No. 12
**Total DFT energy (no corrections)**: -6.144 eV/atom
**Density of states at the Fermi level**: 6.1 states/eV per cell
**Formation energy without anion corrections**: -1.05 eV/atom

The structure in POSCAR format:
```
TbPm2Th3Sb6
1.0
9.775 -2.245 0.000
9.775 2.245 0.000
-2.032 0.000 8.718
Tb Pm Th Sb
1 2 3 6
direct
0.000 0.000 0.000
0.334 0.334 0.667
0.666 0.666 0.333
0.000 0.000 0.500
0.332 0.332 0.167
0.668 0.668 0.833
0.164 0.164 0.083
0.167 0.167 0.582
0.500 0.500 0.245
0.500 0.500 0.755
0.833 0.833 0.418
0.836 0.836 0.917
```

VASP calculation (PBE) on crystalline Tb2PmThSb4 at its relaxed geometry.

Calculated values
**Space group**: P2/m, No. 10
**Total DFT energy (no corrections)**: -5.855 eV/atom
**Density of states at the Fermi level**: 1.8 states/eV per cell
**Formation energy without anion corrections**: -1.11 eV/atom

The structure in POSCAR format:
```
Tb2PmThSb4
1.0
7.694 0.000 0.000
0.000 4.459 0.000
-2.574 0.000 7.270
Tb Pm Th Sb
2 1 1 4
direct
0.000 0.000 0.000
0.000 0.500 0.500
0.500 0.000 0.500
0.500 0.500 0.000
0.243 0.000 0.747
0.244 0.500 0.248
0.756 0.500 0.752
0.757 0.000 0.253
```

VASP calculation (PBE) on crystalline TbPm2ThSb4 at its relaxed geometry.

Calculated values
**Space group**: P2/m, No. 10
**Total DFT energy (no corrections)**: -5.880 eV/atom
**Density of states at the Fermi level**: 1.7 states/eV per cell
**Formation energy without anion corrections**: -1.13 eV/atom

The structure in POSCAR format:
```
TbPm2ThSb4
1.0
7.738 0.000 0.000
0.000 4.482 0.000
-2.585 0.000 7.312
Tb Pm Th Sb
1 2 1 4
direct
0.000 0.000 0.000
0.000 0.500 0.500
0.500 0.000 0.500
0.500 0.500 0.000
0.246 0.500 0.246
0.247 0.000 0.751
0.753 0.000 0.249
0.754 0.500 0.754
```

VASP calculation (PBE) on crystalline Tb2Pm3TmSb6 at its relaxed geometry.

Calculated values
**Space group**: C2/m, No. 12
**Total DFT energy (no corrections)**: -5.545 eV/atom
**Density of states at the Fermi level**: 1.9 states/eV per cell
**Formation energy without anion corrections**: -1.15 eV/atom

The structure in POSCAR format:
```
Tb2Pm3TmSb6
1.0
9.666 -2.219 0.000
9.666 2.219 0.000
-2.022 0.000 8.635
Tb Pm Tm Sb
2 3 1 6
direct
0.166 0.166 0.333
0.834 0.834 0.667
0.167 0.167 0.833
0.500 0.500 0.500
0.833 0.833 0.167
0.500 0.500 0.000
0.001 0.001 0.243
0.332 0.332 0.420
0.336 0.336 0.914
0.664 0.664 0.086
0.668 0.668 0.580
0.999 0.999 0.757
```

VASP calculation (PBE) on crystalline TbPm3Tm2Sb6 at its relaxed geometry.

Calculated values
**Space group**: C2/m, No. 12
**Total DFT energy (no corrections)**: -5.518 eV/atom
**Density of states at the Fermi level**: 1.9 states/eV per cell
**Formation energy without anion corrections**: -1.14 eV/atom

The structure in POSCAR format:
```
TbPm3Tm2Sb6
1.0
9.641 -2.214 0.000
9.641 2.214 0.000
-2.011 0.000 8.615
Tb Pm Tm Sb
1 3 2 6
direct
0.000 0.000 0.000
0.000 0.000 0.500
0.334 0.334 0.167
0.666 0.666 0.833
0.333 0.333 0.667
0.667 0.667 0.333
0.166 0.166 0.089
0.169 0.169 0.577
0.497 0.497 0.753
0.503 0.503 0.247
0.831 0.831 0.423
0.834 0.834 0.911
```

VASP calculation (PBE) on crystalline Tb2PmUSb4 at its relaxed geometry.

Calculated values
**Space group**: I-4m2, No. 119
**Total DFT energy (no corrections)**: -6.132 eV/atom
**Density of states at the Fermi level**: 8.2 states/eV per cell
**Formation energy without anion corrections**: -0.91 eV/atom

The structure in POSCAR format:
```
Tb2PmUSb4
1.0
-3.125 3.125 6.245
3.125 -3.125 6.245
3.125 3.125 -6.245
Tb Pm U Sb
2 1 1 4
direct
0.000 0.000 0.000
0.750 0.250 0.500
0.250 0.750 0.500
0.500 0.500 0.000
0.252 0.252 0.000
0.502 0.002 0.500
0.748 0.748 0.000
0.998 0.498 0.500
```

VASP calculation (PBE) on crystalline Tb2PmY3Sb6 at its relaxed geometry.

Calculated values
**Space group**: C2/m, No. 12
**Total DFT energy (no corrections)**: -6.007 eV/atom
**Density of states at the Fermi level**: 2.2 states/eV per cell
**Formation energy without anion corrections**: -1.16 eV/atom

The structure in POSCAR format:
```
Tb2PmY3Sb6
1.0
3.822 -6.621 0.000
3.822 6.621 0.000
-2.547 0.000 7.202
Tb Pm Y Sb
2 1 3 6
direct
0.167 0.833 0.000
0.833 0.167 0.000
0.500 0.500 0.000
0.000 0.000 0.500
0.335 0.665 0.500
0.665 0.335 0.500
0.079 0.416 0.747
0.247 0.247 0.252
0.416 0.079 0.747
0.584 0.921 0.253
0.753 0.753 0.748
0.921 0.584 0.253
```

- Look up the density of states at the Fermi level of the twelfth one.
  2.2 states/eV per cell

- Which formula does entry 4 have?
  TbPmTh2Sb5

- Which value of density of states at the Fermi level does entry 7 give?
  1.8 states/eV per cell